VASP calculation (PBE) on Hf6AlMo after structural relaxation.

a = 4.569 Å, b = 4.569 Å, c = 15.664 Å
α = 90.00°, β = 90.00°, γ = 90.00°
Space group I4/mmm (No. 139)
Asymmetric unit:
Hf  0.000  0.000  0.249 x4
Hf  0.000  0.500  0.113 x8
Al  0.000  0.000  0.500 x2
Mo  0.000  0.000  0.000 x2

## Properties
The formation energy is -0.113 eV per atom.

---

VASP calculation (PBE) on HfAl2Mo after structural relaxation.

a = 2.9357 Å, b = 2.9357 Å, c = 28.1222 Å
α = 90.00°, β = 90.00°, γ = 120.00°
Space group R-3m (No. 166, hexagonal axes)
Asymmetric unit:
Hf  0.0000  0.0000  0.0000 x3
Al  0.0000  0.0000  0.2444 x6
Mo  0.0000  0.0000  0.5000 x3

## Properties
The formation energy is -0.044 eV per atom.

---

VASP calculation (PBE) on Hf2AlMo after structural relaxation.

a = 3.2124 Å, b = 3.2124 Å, c = 26.4257 Å
α = 90.00°, β = 90.00°, γ = 120.00°
Space group R-3m (No. 166, hexagonal axes)
Asymmetric unit:
Hf  0.0000  0.0000  0.2444 x6
Al  0.0000  0.0000  0.0000 x3
Mo  0.0000  0.0000  0.5000 x3

## Properties
The formation energy is 0.010 eV per atom.

---

VASP calculation (PBE) on Hf3AlMo after structural relaxation.

a = 4.864 Å, b = 4.864 Å, c = 4.864 Å
α = 90.00°, β = 90.00°, γ = 90.00°
Space group Pm-3m (No. 221)
Asymmetric unit:
Hf  0.000  0.000  0.500 x3
Al  0.000  0.000  0.000 x1
Mo  0.500  0.500  0.500 x1

## Properties
The formation energy is 1.188 eV per atom.

---

VASP calculation (PBE) on HfAl4Mo after structural relaxation.

a = 7.281 Å, b = 7.281 Å, c = 7.281 Å
α = 90.00°, β = 90.00°, γ = 90.00°
Space group F-43m (No. 216)
Asymmetric unit:
Hf  0.000  0.000  0.000 x4
Al  0.125  0.125  0.375 x16
Mo  0.250  0.250  0.750 x4

## Properties
The formation energy is -0.217 eV per atom.

---

VASP calculation (PBE) on Hf2AlMo after structural relaxation.

a = 3.419 Å, b = 3.419 Å, c = 6.413 Å
α = 90.00°, β = 90.00°, γ = 90.00°
Space group P4/mmm (No. 123)
Asymmetric unit:
Hf  0.000  0.000  0.238 x2
Al  0.500  0.500  0.500 x1
Mo  0.500  0.500  0.000 x1

## Properties
The formation energy is -0.307 eV per atom.

---

VASP calculation (PBE) on Hf2AlMo2 after structural relaxation.

a = 6.767 Å, b = 6.767 Å, c = 4.174 Å
α = 90.00°, β = 90.00°, γ = 90.00°
Space group P4/mbm (No. 127)
Asymmetric unit:
Hf  0.175  0.325  0.000 x4
Al  0.000  0.000  0.500 x2
Mo  0.130  0.630  0.500 x4

## Properties
The formation energy is 0.026 eV per atom.

---

VASP calculation (PBE) on HfAl2Mo after structural relaxation.

a = 3.971 Å, b = 3.971 Å, c = 4.298 Å
α = 90.00°, β = 90.00°, γ = 90.00°
Space group P4/mmm (No. 123)
Asymmetric unit:
Hf  0.000  0.000  0.000 x1
Al  0.000  0.500  0.500 x2
Mo  0.500  0.500  0.000 x1

## Properties
The formation energy is -0.264 eV per atom.

---

VASP calculation (PBE) on Hf6Al10Mo after structural relaxation.

a = 8.0536 Å, b = 8.0536 Å, c = 5.5934 Å
α = 90.00°, β = 90.00°, γ = 120.00°
Space group P-31m (No. 162)
Asymmetric unit:
Hf  0.0000  0.3826  0.2912 x6
Al  0.0000  0.2504  0.8136 x6
Al  0.3333  0.6667  0.0000 x2
Al  0.3333  0.6667  0.5000 x2
Mo  0.0000  0.0000  0.5000 x1

## Properties
The formation energy is -0.165 eV per atom.

---

VASP calculation (PBE) on Hf3AlMo after structural relaxation.

a = 4.988 Å, b = 4.988 Å, c = 4.988 Å
α = 90.00°, β = 90.00°, γ = 90.00°
Space group Pm-3m (No. 221)
Asymmetric unit:
Hf  0.000  0.000  0.500 x3
Al  0.500  0.500  0.500 x1
Mo  0.000  0.000  0.000 x1

## Properties
The formation energy is 0.819 eV per atom.

---

VASP calculation (PBE) on Hf6AlMo after structural relaxation.

a = 10.587 Å, b = 4.949 Å, c = 6.625 Å
α = 90.00°, β = 108.32°, γ = 90.00°
Space group C2/m (No. 12)
Asymmetric unit:
Hf  0.001  0.000  0.259 x4
Hf  0.229  0.500  0.375 x4
Hf  0.230  0.500  0.855 x4
Al  0.000  0.500  0.000 x2
Mo  0.000  0.500  0.500 x2

## Properties
The formation energy is -0.079 eV per atom.

---

VASP calculation (PBE) on HfAlMo after structural relaxation.

a = 8.728 Å, b = 5.283 Å, c = 9.215 Å
α = 90.00°, β = 90.00°, γ = 90.00°
Space group Amm2 (No. 38)
Asymmetric unit:
Hf  0.184  0.000  0.000 x4
Hf  0.314  0.000  0.336 x4
Al  0.250  0.000  0.674 x4
Al  0.500  0.245  0.084 x4
Mo  0.000  0.000  0.502 x2
Mo  0.000  0.243  0.258 x4
Mo  0.500  0.000  0.839 x2

## Properties
The formation energy is -0.335 eV per atom.